Entry 1:
# Mg2HgGe, optimized geometry, DFT GGA-PBE
data_Mg2HgGe
_cell_length_a 5.824
_cell_length_b 3.333
_cell_length_c 8.952
_cell_angle_alpha 90.00
_cell_angle_beta 102.53
_cell_angle_gamma 90.00
_space_group_name_H-M_alt 'C 1 m 1'
_space_group_IT_number 8
_space_group_name_Hall 'C -2y'
loop_
_atom_site_label
_atom_site_fract_x
_atom_site_fract_y
_atom_site_fract_z
Mg1 0.000 0.000 0.000
Mg2 0.164 0.000 0.488
Hg1 0.082 0.500 0.746
Ge1 0.415 0.000 0.244
# ΔE_f = -0.093 eV per atom

***

Entry 2:
# InTe2Pd9, optimized geometry, DFT GGA-PBE
data_InTe2Pd9
_cell_length_a 4.076
_cell_length_b 4.076
_cell_length_c 12.190
_cell_angle_alpha 90.00
_cell_angle_beta 90.00
_cell_angle_gamma 90.00
_space_group_name_H-M_alt 'P 4/m m m'
_space_group_IT_number 123
_space_group_name_Hall '-P 4 2'
loop_
_atom_site_label
_atom_site_fract_x
_atom_site_fract_y
_atom_site_fract_z
In1 0.000 0.000 0.000
Te1 0.000 0.000 0.328
Pd1 0.000 0.500 0.165
Pd2 0.000 0.500 0.500
Pd3 0.500 0.500 0.000
Pd4 0.500 0.500 0.335
# formation energy from raw total energies = -272 meV/atom

***

Entry 3:
# KRbH2Au, optimized geometry, DFT GGA-PBE
data_KRbH2Au
_cell_length_a 9.293
_cell_length_b 14.120
_cell_length_c 5.251
_cell_angle_alpha 90.00
_cell_angle_beta 90.00
_cell_angle_gamma 90.00
_space_group_name_H-M_alt 'C m m e'
_space_group_IT_number 67
_space_group_name_Hall '-C 2a 2'
loop_
_atom_site_label
_atom_site_fract_x
_atom_site_fract_y
_atom_site_fract_z
K1 0.250 0.000 0.000
Rb1 0.000 0.250 0.459
H1 0.000 0.058 0.226
Au1 0.000 0.000 0.500
# E_tot = -2.60 eV per atom

***

Entry 4:
# BiRuPtI2, optimized geometry, DFT GGA-PBE
data_BiRuPtI2
_cell_length_a 6.216
_cell_length_b 6.216
_cell_length_c 5.071
_cell_angle_alpha 90.00
_cell_angle_beta 90.00
_cell_angle_gamma 90.00
_space_group_name_H-M_alt 'P 4/m m m'
_space_group_IT_number 123
_space_group_name_Hall '-P 4 2'
loop_
_atom_site_label
_atom_site_fract_x
_atom_site_fract_y
_atom_site_fract_z
Bi1 0.000 0.000 0.000
Ru1 0.500 0.500 0.500
Pt1 0.000 0.000 0.500
I1 0.000 0.500 0.000
# formation energy from raw total energies = 1295 meV/atom

***

Entry 5:
# Tb6Pr7Y16, optimized geometry, DFT GGA-PBE
data_Tb6Pr7Y16
_cell_length_a 15.780
_cell_length_b 15.780
_cell_length_c 15.780
_cell_angle_alpha 90.00
_cell_angle_beta 90.00
_cell_angle_gamma 90.00
_space_group_name_H-M_alt 'F m -3 m'
_space_group_IT_number 225
_space_group_name_Hall '-F 4 2 3'
loop_
_atom_site_label
_atom_site_fract_x
_atom_site_fract_y
_atom_site_fract_z
Tb1 0.000 0.000 0.225
Pr1 0.000 0.000 0.000
Pr2 0.000 0.250 0.250
Y1 0.113 0.113 0.387
Y2 0.150 0.150 0.150
# ΔE_f = 0.185 eV per atom

***

Entry 6:
# LaScP2Rh, optimized geometry, DFT GGA-PBE
data_LaScP2Rh
_cell_length_a 5.168
_cell_length_b 5.168
_cell_length_c 5.530
_cell_angle_alpha 90.00
_cell_angle_beta 90.00
_cell_angle_gamma 90.00
_space_group_name_H-M_alt 'P 4/m m m'
_space_group_IT_number 123
_space_group_name_Hall '-P 4 2'
loop_
_atom_site_label
_atom_site_fract_x
_atom_site_fract_y
_atom_site_fract_z
La1 0.000 0.000 0.000
Sc1 0.000 0.000 0.500
P1 0.000 0.500 0.000
Rh1 0.500 0.500 0.500
# ΔE_f = 1.404 eV per atom

***

Entry 7:
# MgMnP2, optimized geometry, DFT GGA-PBE
data_MgMnP2
_cell_length_a 2.842
_cell_length_b 3.277
_cell_length_c 12.537
_cell_angle_alpha 90.00
_cell_angle_beta 90.00
_cell_angle_gamma 90.00
_space_group_name_H-M_alt 'I m m 2'
_space_group_IT_number 44
_space_group_name_Hall 'I 2 -2'
loop_
_atom_site_label
_atom_site_fract_x
_atom_site_fract_y
_atom_site_fract_z
Mg1 0.000 0.000 0.000
Mn1 0.000 0.500 0.735
P1 0.000 0.000 0.376
P2 0.000 0.500 0.162
# ΔE_f = -0.274 eV per atom

***

Entry 8:
# Ag3HRh, optimized geometry, DFT GGA-PBE
data_Ag3HRh
_cell_length_a 5.122
_cell_length_b 5.122
_cell_length_c 5.122
_cell_angle_alpha 90.00
_cell_angle_beta 90.00
_cell_angle_gamma 90.00
_space_group_name_H-M_alt 'P m -3 m'
_space_group_IT_number 221
_space_group_name_Hall '-P 4 2 3'
loop_
_atom_site_label
_atom_site_fract_x
_atom_site_fract_y
_atom_site_fract_z
Ag1 0.000 0.000 0.500
H1 0.500 0.500 0.500
Rh1 0.000 0.000 0.000
# distance to the lowest polymorph of the same formula = 100.7 kJ per mole of atoms

***

Entry 9:
# EuDyAg4, optimized geometry, DFT GGA-PBE
data_EuDyAg4
_cell_length_a 8.158
_cell_length_b 8.158
_cell_length_c 8.158
_cell_angle_alpha 90.00
_cell_angle_beta 90.00
_cell_angle_gamma 90.00
_space_group_name_H-M_alt 'F -4 3 m'
_space_group_IT_number 216
_space_group_name_Hall 'F -4 2 3'
loop_
_atom_site_label
_atom_site_fract_x
_atom_site_fract_y
_atom_site_fract_z
Eu1 0.000 0.000 0.000
Dy1 0.250 0.250 0.250
Ag1 0.125 0.125 0.625
# ΔE_f = -0.165 eV per atom

***

Entry 10:
# GdThCdBi, optimized geometry, DFT GGA-PBE
data_GdThCdBi
_cell_length_a 7.760
_cell_length_b 7.760
_cell_length_c 7.760
_cell_angle_alpha 90.00
_cell_angle_beta 90.00
_cell_angle_gamma 90.00
_space_group_name_H-M_alt 'F -4 3 m'
_space_group_IT_number 216
_space_group_name_Hall 'F -4 2 3'
loop_
_atom_site_label
_atom_site_fract_x
_atom_site_fract_y
_atom_site_fract_z
Gd1 0.000 0.000 0.000
Th1 0.000 0.000 0.500
Cd1 0.250 0.250 0.750
Bi1 0.250 0.250 0.250
# ΔE_f = -0.313 eV per atom

***

Entry 11:
# KTlSn, optimized geometry, DFT GGA-PBE
data_KTlSn
_cell_length_a 10.162
_cell_length_b 4.514
_cell_length_c 10.103
_cell_angle_alpha 90.00
_cell_angle_beta 90.00
_cell_angle_gamma 90.00
_space_group_name_H-M_alt 'P n m a'
_space_group_IT_number 62
_space_group_name_Hall '-P 2ac 2n'
loop_
_atom_site_label
_atom_site_fract_x
_atom_site_fract_y
_atom_site_fract_z
K1 0.183 0.250 0.085
Tl1 0.058 0.250 0.746
Sn1 0.083 0.250 0.440
# ΔE_f = -0.133 eV per atom

***

Entry 12:
# TlAg2AsSe4, optimized geometry, DFT GGA-PBE
data_TlAg2AsSe4
_cell_length_a 7.013
_cell_length_b 7.382
_cell_length_c 8.612
_cell_angle_alpha 90.00
_cell_angle_beta 90.00
_cell_angle_gamma 90.00
_space_group_name_H-M_alt 'I 2 2 2'
_space_group_IT_number 23
_space_group_name_Hall 'I 2 2'
loop_
_atom_site_label
_atom_site_fract_x
_atom_site_fract_y
_atom_site_fract_z
Tl1 0.000 0.000 0.000
Ag1 0.000 0.500 0.186
As1 0.000 0.000 0.500
Se1 0.194 0.193 0.345
# formation energy from raw total energies = -139 meV/atom

***

Entry 13:
# Fe2SiW, optimized geometry, DFT GGA-PBE
data_Fe2SiW
_cell_length_a 3.818
_cell_length_b 3.818
_cell_length_c 6.630
_cell_angle_alpha 90.00
_cell_angle_beta 90.00
_cell_angle_gamma 90.00
_space_group_name_H-M_alt 'I 4/m m m'
_space_group_IT_number 139
_space_group_name_Hall '-I 4 2'
loop_
_atom_site_label
_atom_site_fract_x
_atom_site_fract_y
_atom_site_fract_z
Fe1 0.000 0.500 0.250
Si1 0.000 0.000 0.000
W1 0.000 0.000 0.500
# formation energy from raw total energies = -147 meV/atom

***

Entry 14:
# BaTl2RhF6, optimized geometry, DFT GGA-PBE
data_BaTl2RhF6
_cell_length_a 6.067
_cell_length_b 9.717
_cell_length_c 7.111
_cell_angle_alpha 90.00
_cell_angle_beta 90.00
_cell_angle_gamma 90.00
_space_group_name_H-M_alt 'P m m n'
_space_group_IT_number 59
loop_
_space_group_symop_operation_xyz
'x,y,z'
'-x,-y,-z'
'-x+1/2,-y+1/2,z'
'x+1/2,y+1/2,-z'
'x+1/2,-y,-z'
'-x+1/2,y,z'
'-x,y+1/2,-z'
'x,-y+1/2,z'
loop_
_atom_site_label
_atom_site_fract_x
_atom_site_fract_y
_atom_site_fract_z
Ba1 0.250 0.250 0.190
Tl1 0.250 0.042 0.673
Rh1 0.250 0.750 0.299
F1 0.005 0.750 0.505
F2 0.009 0.750 0.094
F3 0.250 0.001 0.313
# formation energy from raw total energies = -2151 meV/atom

***

Entry 15:
# Ca4Bi2S, optimized geometry, DFT GGA-PBE
data_Ca4Bi2S
_cell_length_a 5.208
_cell_length_b 5.208
_cell_length_c 16.713
_cell_angle_alpha 90.00
_cell_angle_beta 90.00
_cell_angle_gamma 90.00
_space_group_name_H-M_alt 'I 4/m m m'
_space_group_IT_number 139
_space_group_name_Hall '-I 4 2'
loop_
_atom_site_label
_atom_site_fract_x
_atom_site_fract_y
_atom_site_fract_z
Ca1 0.000 0.000 0.173
Ca2 0.000 0.500 0.000
Bi1 0.000 0.000 0.364
S1 0.000 0.000 0.000
# formation energy from raw total energies = -1175 meV/atom

***

Entry 16:
# InRhBr2, optimized geometry, DFT GGA-PBE
data_InRhBr2
_cell_length_a 3.8103
_cell_length_b 3.8103
_cell_length_c 25.3040
_cell_angle_alpha 90.00
_cell_angle_beta 90.00
_cell_angle_gamma 120.00
_space_group_name_H-M_alt 'R -3 m'
_space_group_IT_number 166
_space_group_name_Hall '-R 3 2"'
loop_
_atom_site_label
_atom_site_fract_x
_atom_site_fract_y
_atom_site_fract_z
In1 0.0000 0.0000 0.0000
Rh1 0.0000 0.0000 0.5000
Br1 0.0000 0.0000 0.2241
# formation energy from raw total energies = -16 meV/atom
# distance to the lowest polymorph of the same formula = 25.1 kJ per mole of atoms

***

Entry 17:
# Np2PdS5, optimized geometry, DFT GGA-PBE
data_Np2PdS5
_cell_length_a 7.485
_cell_length_b 11.047
_cell_length_c 3.743
_cell_angle_alpha 90.00
_cell_angle_beta 90.00
_cell_angle_gamma 90.00
_space_group_name_H-M_alt 'P b a m'
_space_group_IT_number 55
_space_group_name_Hall '-P 2 2ab'
loop_
_atom_site_label
_atom_site_fract_x
_atom_site_fract_y
_atom_site_fract_z
Np1 0.024 0.179 0.000
Pd1 0.000 0.500 0.500
S1 0.000 0.000 0.500
S2 0.161 0.411 0.000
S3 0.184 0.698 0.500
# formation energy from raw total energies = -981 meV/atom
# distance to the lowest polymorph of the same formula = 0.0 kJ per mole of atoms

***

Entry 18:
# TlNi2Br, optimized geometry, DFT GGA-PBE
data_TlNi2Br
_cell_length_a 3.683
_cell_length_b 3.285
_cell_length_c 6.309
_cell_angle_alpha 90.00
_cell_angle_beta 90.11
_cell_angle_gamma 90.00
_space_group_name_H-M_alt 'P 1 2/m 1'
_space_group_IT_number 10
_space_group_name_Hall '-P 2y'
loop_
_atom_site_label
_atom_site_fract_x
_atom_site_fract_y
_atom_site_fract_z
Tl1 0.000 0.000 0.000
Ni1 0.499 0.500 0.807
Br1 0.500 0.000 0.500
# formation energy from raw total energies = 227 meV/atom
# distance to the lowest polymorph of the same formula = 12.4 kJ per mole of atoms

***

Entry 19:
# MgFeTc2, optimized geometry, DFT GGA-PBE
data_MgFeTc2
_cell_length_a 2.765
_cell_length_b 3.874
_cell_length_c 5.510
_cell_angle_alpha 90.00
_cell_angle_beta 90.00
_cell_angle_gamma 90.00
_space_group_name_H-M_alt 'P m m 2'
_space_group_IT_number 25
_space_group_name_Hall 'P 2 -2'
loop_
_atom_site_label
_atom_site_fract_x
_atom_site_fract_y
_atom_site_fract_z
Mg1 0.000 0.000 0.000
Fe1 0.500 0.500 0.752
Tc1 0.000 0.000 0.504
Tc2 0.500 0.500 0.286
# ΔE_f = 0.244 eV per atom

***

Entry 20:
# PuAl2Zn9, optimized geometry, DFT GGA-PBE
data_PuAl2Zn9
_cell_length_a 10.605
_cell_length_b 10.605
_cell_length_c 6.999
_cell_angle_alpha 90.00
_cell_angle_beta 90.00
_cell_angle_gamma 90.00
_space_group_name_H-M_alt 'I 41/a m d'
_space_group_IT_number 141
loop_
_space_group_symop_operation_xyz
'x,y,z'
'-x,-y,-z'
'-y+1/4,x+3/4,z+1/4'
'y+1/4,-x+3/4,-z+1/4'
'-x+1/2,-y,z+1/2'
'x+1/2,y,-z+1/2'
'y+1/4,-x+1/4,z+3/4'
'-y+1/4,x+1/4,-z+3/4'
'x,-y,-z'
'-x,y,z'
'-y+1/4,-x+1/4,-z+3/4'
'y+1/4,x+1/4,z+3/4'
'-x+1/2,y,-z+1/2'
'x+1/2,-y,z+1/2'
'y+1/4,x+3/4,-z+1/4'
'-y+1/4,-x+3/4,z+1/4'
'x+1/2,y+1/2,z+1/2'
'-x+1/2,-y+1/2,-z+1/2'
'-y+3/4,x+1/4,z+3/4'
'y+3/4,-x+1/4,-z+3/4'
'-x,-y+1/2,z'
'x,y+1/2,-z'
'y+3/4,-x+3/4,z+1/4'
'-y+3/4,x+3/4,-z+1/4'
'x+1/2,-y+1/2,-z+1/2'
'-x+1/2,y+1/2,z+1/2'
'-y+3/4,-x+3/4,-z+1/4'
'y+3/4,x+3/4,z+1/4'
'-x,y+1/2,-z'
'x,-y+1/2,z'
'y+3/4,x+1/4,-z+3/4'
'-y+3/4,-x+1/4,z+3/4'
loop_
_atom_site_label
_atom_site_fract_x
_atom_site_fract_y
_atom_site_fract_z
Pu1 0.000 0.250 0.375
Al1 0.000 0.000 0.000
Zn1 0.000 0.250 0.875
Zn2 0.121 0.045 0.672
# distance to the lowest polymorph of the same formula = 0.0 kJ per mole of atoms
# ΔE_f = -0.096 eV per atom